A plane-wave DFT calculation with PBE was carried out for a relaxed structure of CsBaI3.

Cell lengths 4.8098, 5.3491, 10.2879 Å; angles 90.00, 90.76, 90.00 degrees
Positions (direct):
Cs  0.0000  0.0000  0.0000
Ba  0.5113  0.4977  0.4687
I  0.0100  0.9982  0.3961
I  0.0177  0.4996  0.7150
I  0.5037  0.4997  0.1333

Summary:
**V**: 264.7 Å³/cell
**M_tot**: 0.00 μB/cell
**E_form (uncorrected)**: -1.66 eV/atom


A plane-wave DFT calculation with PBE was carried out for a relaxed structure of CsBaI3.

Cell lengths 14.5274, 14.5274, 14.5274 Å; angles 152.52, 152.52, 39.25 degrees
Positions (direct):
Cs  0.0000  0.0000  0.0000
Cs  0.7500  0.2500  0.5000
Ba  0.1527  0.6527  0.5000
Ba  0.3473  0.8473  0.5000
I  0.3045  0.3045  0.0000
I  0.3703  0.1207  0.2497
I  0.6955  0.6955  0.0000
I  0.8710  0.1207  0.7503
I  0.8793  0.1290  0.2497
I  0.8793  0.6297  0.7503

Summary:
**V**: 651.5 Å³/cell
**M_tot**: 0.08 μB/cell
**E_form (uncorrected)**: -1.20 eV/atom


A plane-wave DFT calculation with PBE was carried out for a relaxed structure of CsBaI3.

Cell lengths 11.3219, 11.3219, 8.5378 Å; angles 90.00, 90.00, 140.39 degrees
Positions (direct):
Cs  0.1598  0.8402  0.7500
Cs  0.8402  0.1598  0.2500
Ba  0.4217  0.5783  0.7500
Ba  0.5783  0.4217  0.2500
I  0.0000  0.0000  0.0000
I  0.0000  0.0000  0.5000
I  0.0464  0.4287  0.7500
I  0.4287  0.0464  0.2500
I  0.5713  0.9536  0.7500
I  0.9536  0.5713  0.2500

Summary:
**V**: 697.8 Å³/cell
**M_tot**: 0.00 μB/cell
**E_form (uncorrected)**: -1.21 eV/atom


A plane-wave DFT calculation with PBE was carried out for a relaxed structure of CsBaI3.

Cell lengths 4.8366, 6.6520, 9.9688 Å; angles 73.57, 89.98, 68.82 degrees
Positions (direct):
Cs  0.0000  0.0000  0.0000
Ba  0.8397  0.3241  0.4329
I  0.1242  0.7574  0.4134
I  0.3297  0.3452  0.1597
I  0.4611  0.0790  0.6897

Summary:
**V**: 285.0 Å³/cell
**M_tot**: 0.00 μB/cell
**E_form (uncorrected)**: -1.66 eV/atom


A plane-wave DFT calculation with PBE was carried out for a relaxed structure of Cs3Ba2I7.

Cell lengths 16.4360, 16.4360, 6.6580 Å; angles 90.00, 90.00, 155.99 degrees
Positions (direct):
Cs  0.0000  0.0000  0.0000
Cs  0.1833  0.8167  0.0000
Cs  0.8167  0.1833  0.0000
Ba  0.3929  0.6071  0.5000
Ba  0.6071  0.3929  0.5000
I  0.1001  0.8999  0.5000
I  0.2892  0.7108  0.5000
I  0.3979  0.6021  0.0000
I  0.5000  0.5000  0.5000
I  0.6021  0.3979  0.0000
I  0.7108  0.2892  0.5000
I  0.8999  0.1001  0.5000

Summary:
**V**: 731.9 Å³/cell
**M_tot**: 0.00 μB/cell
**E_form (uncorrected)**: -1.59 eV/atom


A plane-wave DFT calculation with PBE was carried out for a relaxed structure of Cs2BaInI6.

Cell lengths 9.2119, 9.2119, 9.2248 Å; angles 119.94, 119.94, 90.00 degrees
Positions (direct):
Cs  0.2501  0.7499  0.0000
Cs  0.7499  0.2501  0.0000
Ba  0.0423  0.0423  0.5848
In  0.5438  0.5438  0.5878
I  0.3060  0.3060  0.1121
I  0.3157  0.3157  0.6112
I  0.3159  0.7956  0.6116
I  0.7842  0.7842  0.0696
I  0.7956  0.3159  0.6116
I  0.7957  0.7957  0.6119

Summary:
**V**: 554.5 Å³/cell
**M_tot**: 0.00 μB/cell
**E_form (uncorrected)**: -1.23 eV/atom


A plane-wave DFT calculation with PBE was carried out for a relaxed structure of Cs2BaIn2I6.

Cell lengths 9.5753, 9.5753, 8.8525 Å; angles 107.99, 107.99, 56.51 degrees
Positions (direct):
Cs  0.2283  0.2283  0.2022
Cs  0.7717  0.7717  0.7978
Ba  0.5000  0.5000  0.0000
In  0.1043  0.1043  0.5799
In  0.8957  0.8957  0.4201
I  0.1465  0.6646  0.1689
I  0.3076  0.3076  0.6782
I  0.3354  0.8535  0.8311
I  0.6646  0.1465  0.1689
I  0.6924  0.6924  0.3218
I  0.8535  0.3354  0.8311

Summary:
**V**: 633.9 Å³/cell
**M_tot**: 0.00 μB/cell
**E_form (uncorrected)**: -1.17 eV/atom


A plane-wave DFT calculation with PBE was carried out for a relaxed structure of Cs2BaInI5.

Cell lengths 11.4050, 11.4050, 17.1507 Å; angles 90.00, 90.00, 153.27 degrees
Positions (direct):
Cs  0.0881  0.9119  0.5000
Cs  0.1318  0.8682  0.1398
Cs  0.8682  0.1318  0.6398
Cs  0.9119  0.0881  0.0000
Ba  0.2235  0.7765  0.8649
Ba  0.7765  0.2235  0.3649
In  0.4590  0.5410  0.2926
In  0.5410  0.4590  0.7926
I  0.0737  0.9263  0.9107
I  0.2641  0.7359  0.5017
I  0.3041  0.6959  0.2356
I  0.3766  0.6234  0.8287
I  0.4958  0.5042  0.6080
I  0.5042  0.4958  0.1080
I  0.6234  0.3766  0.3287
I  0.6959  0.3041  0.7356
I  0.7359  0.2641  0.0017
I  0.9263  0.0737  0.4107

Summary:
**V**: 1003.6 Å³/cell
**M_tot**: 0.00 μB/cell
**E_form (uncorrected)**: -1.37 eV/atom


A plane-wave DFT calculation with PBE was carried out for a relaxed structure of Cs3KBa3I8.

Cell lengths 10.8571, 10.8571, 10.8571 Å; angles 55.29, 55.29, 55.29 degrees
Positions (direct):
Cs  0.0000  0.5000  0.5000
Cs  0.5000  0.0000  0.5000
Cs  0.5000  0.5000  0.0000
K  0.5000  0.5000  0.5000
Ba  0.0000  0.0000  0.5000
Ba  0.0000  0.5000  0.0000
Ba  0.5000  0.0000  0.0000
I  0.2371  0.7408  0.7408
I  0.2415  0.2415  0.2415
I  0.2592  0.2592  0.7629
I  0.2592  0.7629  0.2592
I  0.7408  0.2371  0.7408
I  0.7408  0.7408  0.2371
I  0.7585  0.7585  0.7585
I  0.7629  0.2592  0.2592

Summary:
**V**: 805.9 Å³/cell
**M_tot**: 0.00 μB/cell
**E_form (uncorrected)**: -1.47 eV/atom


A plane-wave DFT calculation with PBE was carried out for a relaxed structure of Cs2KBaI4.

Cell lengths 9.1638, 5.1701, 9.3868 Å; angles 90.00, 108.52, 90.00 degrees
Positions (direct):
Cs  0.0000  0.0000  0.0000
Cs  0.5000  0.5000  0.0000
K  0.0000  0.5000  0.5000
Ba  0.5000  0.0000  0.5000
I  0.2460  0.0000  0.7183
I  0.2635  0.5000  0.2798
I  0.7365  0.5000  0.7202
I  0.7540  0.0000  0.2817

Summary:
**V**: 421.7 Å³/cell
**M_tot**: 0.00 μB/cell
**E_form (uncorrected)**: -1.42 eV/atom


A plane-wave DFT calculation with PBE was carried out for a relaxed structure of Cs2K3BaI6.

Cell lengths 11.7692, 11.7692, 10.9149 Å; angles 103.45, 103.45, 24.61 degrees
Positions (direct):
Cs  0.1667  0.1667  0.3349
Cs  0.8333  0.8333  0.6651
K  0.1667  0.1667  0.8345
K  0.5000  0.5000  0.5000
K  0.8333  0.8333  0.1655
Ba  0.5000  0.5000  0.0000
I  0.0049  0.0049  0.7558
I  0.3394  0.3394  0.3999
I  0.3390  0.3390  0.9361
I  0.6610  0.6610  0.0639
I  0.6606  0.6606  0.6001
I  0.9951  0.9951  0.2442

Summary:
**V**: 611.4 Å³/cell
**M_tot**: 0.54 μB/cell
**E_form (uncorrected)**: -1.43 eV/atom


A plane-wave DFT calculation with PBE was carried out for a relaxed structure of CsK2BaI.

Cell lengths 7.3590, 7.3590, 6.9099 Å; angles 90.00, 90.00, 90.00 degrees
Positions (direct):
Cs  0.0000  0.0000  0.0000
K  0.0000  0.5000  0.5000
K  0.5000  0.0000  0.5000
Ba  0.5000  0.5000  0.0000
I  0.5000  0.5000  0.5000

Summary:
**V**: 374.2 Å³/cell
**M_tot**: 0.00 μB/cell
**E_form (uncorrected)**: -0.40 eV/atom